--- A ---
Li2Cu2Tc: optimized geometry, PBE.

Summary:
- density (g cm⁻³) = 6.31

Lattice parameters (Å, degrees): 7.089 7.089 2.502 90.00 90.00 90.00
Space group P4/mbm (No. 127)
Asymmetric unit:
Li 0.171 0.329 0.000 (multiplicity 4)
Cu 0.129 0.629 0.500 (multiplicity 4)
Tc 0.000 0.000 0.500 (multiplicity 2)

***

--- B ---
Li2Cu2Tc: optimized geometry, PBE.

Summary:
- density (g cm⁻³) = 6.47

Lattice parameters (Å, degrees): 6.990 6.990 2.510 90.00 90.00 90.00
Space group P4/mbm (No. 127)
Asymmetric unit:
Li 0.119 0.381 0.000 (multiplicity 4)
Cu 0.184 0.684 0.500 (multiplicity 4)
Tc 0.000 0.000 0.000 (multiplicity 2)

***

Most stable = B

***

--- A ---
Li3CuTc: optimized geometry, PBE.

Summary:
- density (g cm⁻³) = 2.81

Lattice parameters (Å, degrees): 4.759 4.759 4.759 90.00 90.00 90.00
Space group Pm-3m (No. 221)
Asymmetric unit:
Li 0.000 0.000 0.500 (multiplicity 3)
Cu 0.500 0.500 0.500 (multiplicity 1)
Tc 0.000 0.000 0.000 (multiplicity 1)

***

--- B ---
Li3CuTc: optimized geometry, PBE.

Summary:
- density (g cm⁻³) = 4.04

Lattice parameters (Å, degrees): 4.217 4.217 4.217 90.00 90.00 90.00
Space group Pm-3m (No. 221)
Asymmetric unit:
Li 0.000 0.000 0.500 (multiplicity 3)
Cu 0.000 0.000 0.000 (multiplicity 1)
Tc 0.500 0.500 0.500 (multiplicity 1)

***

Most stable = B

***

--- A ---
LiCuTe3: optimized geometry, PBE.

Summary:
- density (g cm⁻³) = 5.30

Lattice parameters (Å, degrees): 5.216 5.216 5.216 90.00 90.00 90.00
Space group Pm-3m (No. 221)
Asymmetric unit:
Li 0.000 0.000 0.000 (multiplicity 1)
Cu 0.500 0.500 0.500 (multiplicity 1)
Te 0.000 0.500 0.500 (multiplicity 3)

***

--- B ---
LiCuTe3: optimized geometry, PBE.

Summary:
- density (g cm⁻³) = 5.51

Lattice parameters (Å, degrees): 9.105 14.854 9.089 90.00 117.27 90.00
Space group C2/c (No. 15)
Asymmetric unit:
Li 0.000 0.112 0.250 (multiplicity 4)
Li 0.000 0.366 0.750 (multiplicity 4)
Cu 0.161 0.342 0.304 (multiplicity 8)
Te 0.067 0.264 0.498 (multiplicity 8)
Te 0.204 0.134 0.894 (multiplicity 8)
Te 0.233 0.009 0.166 (multiplicity 8)

***

Most stable = B

***

--- A ---
Li2CuTe2: optimized geometry, PBE.

Summary:
- density (g cm⁻³) = 5.19

Lattice parameters (Å, degrees): 8.220 8.220 3.151 90.00 90.00 90.00
Space group P4/mbm (No. 127)
Asymmetric unit:
Li 0.124 0.376 0.000 (multiplicity 4)
Cu 0.000 0.000 0.000 (multiplicity 2)
Te 0.179 0.679 0.500 (multiplicity 4)

***

--- B ---
Li2CuTe2: optimized geometry, PBE.

Summary:
- density (g cm⁻³) = 4.89

Lattice parameters (Å, degrees): 7.313 7.313 4.225 90.00 90.00 90.00
Space group P4/mbm (No. 127)
Asymmetric unit:
Li 0.139 0.361 0.000 (multiplicity 4)
Cu 0.000 0.000 0.500 (multiplicity 2)
Te 0.175 0.675 0.500 (multiplicity 4)

***

Most stable = B

***

--- A ---
Li3TiCu: optimized geometry, PBE.

Summary:
- density (g cm⁻³) = 1.82

Lattice parameters (Å, degrees): 4.938 4.938 4.938 90.00 90.00 90.00
Space group Pm-3m (No. 221)
Asymmetric unit:
Li 0.000 0.000 0.500 (multiplicity 3)
Ti 0.000 0.000 0.000 (multiplicity 1)
Cu 0.500 0.500 0.500 (multiplicity 1)

***

--- B ---
Li3TiCu: optimized geometry, PBE.

Summary:
- density (g cm⁻³) = 2.50

Lattice parameters (Å, degrees): 4.447 4.447 4.447 90.00 90.00 90.00
Space group Pm-3m (No. 221)
Asymmetric unit:
Li 0.000 0.000 0.500 (multiplicity 3)
Ti 0.500 0.500 0.500 (multiplicity 1)
Cu 0.000 0.000 0.000 (multiplicity 1)

***

Most stable = B

***

--- A ---
LiTi2Cu2: optimized geometry, PBE.

Summary:
- density (g cm⁻³) = 4.98

Lattice parameters (Å, degrees): 7.648 7.648 2.618 90.00 90.00 90.00
Space group P4/mbm (No. 127)
Asymmetric unit:
Li 0.000 0.000 0.000 (multiplicity 2)
Ti 0.162 0.338 0.000 (multiplicity 4)
Cu 0.132 0.632 0.500 (multiplicity 4)

***

--- B ---
LiTi2Cu2: optimized geometry, PBE.

Summary:
- density (g cm⁻³) = 4.99

Lattice parameters (Å, degrees): 7.529 7.529 2.700 90.00 90.00 90.00
Space group P4/mbm (No. 127)
Asymmetric unit:
Li 0.000 0.000 0.000 (multiplicity 2)
Ti 0.168 0.332 0.500 (multiplicity 4)
Cu 0.127 0.627 0.000 (multiplicity 4)

***

Most stable = B